No. 1
This record from OQMD via LeMat-Bulk describes an optimized crystal structure of KZnInS3. The functional is PBE.

Cell: 7.3555 7.3555 10.6482 Å, 90.00 90.00 149.70°
With the nearest neighbours (Å) after each atom.
Fractional coordinates of all 12 atoms:
1 K 0.2432 0.7568 0.7500  6 S 3.19-3.41
2 K 0.7568 0.2432 0.2500  6 S 3.19-3.41
3 Zn 0.0351 0.9649 0.2500  4 S 2.34-2.38
4 Zn 0.9649 0.0351 0.7500  4 S 2.34-2.38
5 In 0.5000 0.5000 0.0000  6 S 2.64-2.81
6 In 0.5000 0.5000 0.5000  6 S 2.64-2.81
7 S 0.1190 0.8810 0.0604  1 Zn 2.34
8 S 0.1190 0.8810 0.4396  1 Zn 2.34
9 S 0.4365 0.5635 0.2500  2 Zn 2.38
10 S 0.5635 0.4365 0.7500  2 Zn 2.38
11 S 0.8810 0.1190 0.5604  1 Zn 2.34
12 S 0.8810 0.1190 0.9396  1 Zn 2.34

Summary:
E	-45.04	eV/cell

***

No. 2
This record from OQMD via LeMat-Bulk describes an optimized crystal structure of CoPS3. The functional is PBE.

Cell: 7.3281 7.3281 7.3281 Å, 46.59 46.59 46.59°
With the nearest neighbours (Å) after each atom.
Fractional coordinates of all 10 atoms:
1 Co 0.1663 0.1663 0.1663  6 S 2.31
2 Co 0.8337 0.8337 0.8337  6 S 2.31
3 P 0.4431 0.4431 0.4431  3 S 2.12, 1 P 2.23
4 P 0.5569 0.5569 0.5569  3 S 2.12, 1 P 2.23
5 S 0.0670 0.7915 0.4312  1 P 2.12, 2 Co 2.31
6 S 0.2085 0.5688 0.9330  1 P 2.12, 2 Co 2.31
7 S 0.4312 0.0670 0.7915  1 P 2.12, 2 Co 2.31
8 S 0.5688 0.9330 0.2085  1 P 2.12, 2 Co 2.31
9 S 0.7915 0.4312 0.0670  1 P 2.12, 2 Co 2.31
10 S 0.9330 0.2085 0.5688  1 P 2.12, 2 Co 2.31

Summary:
offset from the most stable computed form	0.0	kJ/mol of atoms

***

No. 3
This record from OQMD via LeMat-Bulk describes an optimized crystal structure of CsNbW. The functional is PBE.

Cell: 6.6940 6.6940 6.6940 Å, 90.00 90.00 90.00°
With the nearest neighbours (Å) after each atom.
Fractional coordinates of all 12 atoms:
1 Cs 0.0000 0.0000 0.0000  4 W 2.90
2 Cs 0.0000 0.5000 0.5000  4 W 2.90
3 Cs 0.5000 0.0000 0.5000  4 W 2.90
4 Cs 0.5000 0.5000 0.0000  4 W 2.90
5 Nb 0.0000 0.0000 0.5000  4 W 2.90
6 Nb 0.0000 0.5000 0.0000  4 W 2.90
7 Nb 0.5000 0.0000 0.0000  4 W 2.90
8 Nb 0.5000 0.5000 0.5000  4 W 2.90
9 W 0.2500 0.2500 0.2500  4 Nb 2.90, 4 Cs 2.90
10 W 0.2500 0.7500 0.7500  4 Nb 2.90, 4 Cs 2.90
11 W 0.7500 0.2500 0.7500  4 Nb 2.90, 4 Cs 2.90
12 W 0.7500 0.7500 0.2500  4 Nb 2.90, 4 Cs 2.90

Summary:
offset from the most stable computed form	0.0	kJ/mol of atoms

***

No. 4
This record from OQMD via LeMat-Bulk describes an optimized crystal structure of KPrSe2O8. The functional is PBE.

Cell: 5.7489 5.7489 7.3744 Å, 90.00 90.00 120.00°
With the nearest neighbours (Å) after each atom.
Fractional coordinates of all 12 atoms:
1 K 0.0000 0.0000 0.0000  6 O 2.80
2 Pr 0.0000 0.0000 0.5000  6 O 2.33
3 Se 0.3333 0.6667 0.7894  4 O 1.64-1.67
4 Se 0.6667 0.3333 0.2106  4 O 1.64-1.67
5 O 0.1774 0.3549 0.7053  1 Se 1.67
6 O 0.1774 0.8226 0.7053  1 Se 1.67
7 O 0.3333 0.6667 0.0116  1 Se 1.64
8 O 0.3549 0.1774 0.2947  1 Se 1.67
9 O 0.6451 0.8226 0.7053  1 Se 1.67
10 O 0.6667 0.3333 0.9884  1 Se 1.64
11 O 0.8226 0.1774 0.2947  1 Se 1.67
12 O 0.8226 0.6451 0.2947  1 Se 1.67

Summary:
offset from the most stable computed form	4.2	kJ/mol of atoms

***

No. 5
This record from OQMD via LeMat-Bulk describes an optimized crystal structure of Tl2Pt2O5. The functional is PBE.

Cell: 3.9661 3.9661 8.1477 Å, 90.00 90.00 90.00°
With the nearest neighbours (Å) after each atom.
Fractional coordinates of all 9 atoms:
1 Tl 0.0000 0.0000 0.0000  8 O 2.47
2 Tl 0.0000 0.0000 0.5000  4 O 2.80
3 Pt 0.5000 0.5000 0.2364  5 O 2.03-2.15
4 Pt 0.5000 0.5000 0.7636  5 O 2.03-2.15
5 O 0.0000 0.5000 0.1807  2 Pt 2.03
6 O 0.0000 0.5000 0.8193  2 Pt 2.03
7 O 0.5000 0.0000 0.1807  2 Pt 2.03
8 O 0.5000 0.0000 0.8193  2 Pt 2.03
9 O 0.5000 0.5000 0.5000  2 Pt 2.15

Summary:
offset from the most stable computed form	0.0	kJ/mol of atoms

***

No. 6
This record from OQMD via LeMat-Bulk describes an optimized crystal structure of LaAgPt. The functional is PBE.

Cell: 6.7968 6.7968 6.7968 Å, 90.00 90.00 90.00°
With the nearest neighbours (Å) after each atom.
Fractional coordinates of all 12 atoms:
1 La 0.0000 0.0000 0.0000  4 Pt 2.94
2 La 0.0000 0.5000 0.5000  4 Pt 2.94
3 La 0.5000 0.0000 0.5000  4 Pt 2.94
4 La 0.5000 0.5000 0.0000  4 Pt 2.94
5 Ag 0.0000 0.0000 0.5000  4 Pt 2.94
6 Ag 0.0000 0.5000 0.0000  4 Pt 2.94
7 Ag 0.5000 0.0000 0.0000  4 Pt 2.94
8 Ag 0.5000 0.5000 0.5000  4 Pt 2.94
9 Pt 0.2500 0.2500 0.7500  4 La 2.94, 4 Ag 2.94
10 Pt 0.2500 0.7500 0.2500  4 La 2.94, 4 Ag 2.94
11 Pt 0.7500 0.2500 0.2500  4 La 2.94, 4 Ag 2.94
12 Pt 0.7500 0.7500 0.7500  4 La 2.94, 4 Ag 2.94

Summary:
offset from the most stable computed form	0.0	kJ/mol of atoms
energy of formation	-65	kJ/mol of atoms